## Mg2Nb2MoO8 (PBE with a Hubbard U)

Data for Mg2Nb2MoO8 after structural relaxation.

Calculated values
**E_tot**: -7.77 eV per atom
**Spin magnetization**: 4.0 μB per formula unit

Cell: 10.194 10.194 5.303 Å, 89.58 89.58 34.38°
Sites, in units of the cell vectors:
Mo 0.652 0.348 0.250
Mo 0.348 0.652 0.750
O 0.183 0.958 0.921
O 0.042 0.817 0.579
O 0.915 0.712 0.951
O 0.682 0.437 0.906
O 0.437 0.682 0.406
O 0.085 0.288 0.049
O 0.563 0.318 0.594
O 0.958 0.183 0.421
O 0.318 0.563 0.094
O 0.836 0.550 0.621
O 0.712 0.915 0.451
O 0.450 0.164 0.879
O 0.288 0.085 0.549
O 0.164 0.450 0.379
O 0.817 0.042 0.079
O 0.550 0.836 0.121
Nb 0.278 0.960 0.251
Nb 0.722 0.040 0.749
Nb 0.960 0.278 0.751
Nb 0.040 0.722 0.249
Mg 0.419 0.127 0.243
Mg 0.127 0.419 0.743
Mg 0.873 0.581 0.257
Mg 0.581 0.873 0.757